Entry from Alexandria: an optimized crystal structure of AcGeMoO6 (PBE+U).

As for the energy: -65.62 eV per cell. The calculation puts the density of states at the Fermi level at 0.0 states/eV/cell. The calculation puts the total magnetization at 1.00 μB per cell.

Cell: 5.2424 5.2424 5.3414 Å, 90.00 90.00 120.00°
Last column: nearest neighbours and their distance in Å.
Space group P312 (No. 149)
Symmetry-distinct sites (fractional):
Ac (0.0000, 0.0000, 0.0000)  6 O 2.56
Ge (0.6667, 0.3333, 0.5000)  6 O 1.93
Mo (0.3333, 0.6667, 0.5000)  6 O 2.00
O (0.3909, 0.0108, 0.7054)  1 Ge 1.93, 1 Mo 2.00